<one>
A relaxed structure of BaSrLaWO6, computed with GGA+U.

Calculated values
SG: P-1, No. 2

Cell: 6.068 6.109 8.674 Å, 89.79 89.47 90.00°
Fractional coordinates of all 20 atoms:
Ba  0.004  0.029  0.252
Ba  0.996  0.971  0.748
Sr  0.498  0.535  0.246
Sr  0.502  0.465  0.754
La  0.000  0.500  0.000
La  0.500  0.000  0.500
W  0.000  0.500  0.500
W  0.500  0.000  0.000
O  0.085  0.501  0.730
O  0.192  0.771  0.467
O  0.236  0.817  0.026
O  0.262  0.319  0.453
O  0.317  0.279  0.047
O  0.437  0.043  0.769
O  0.563  0.957  0.231
O  0.683  0.721  0.953
O  0.738  0.681  0.547
O  0.764  0.183  0.974
O  0.808  0.229  0.533
O  0.915  0.499  0.270

<two>
A relaxed structure of BaSrLaWO6, computed with GGA+U.

Calculated values
SG: F-43m, No. 216

Cell: 6.147 6.147 6.147 Å, 60.00 60.00 60.00°
Fractional coordinates of all 10 atoms:
Ba  0.000  0.000  0.000
Sr  0.500  0.500  0.500
La  0.250  0.250  0.250
W  0.750  0.750  0.750
O  0.520  0.520  0.980
O  0.520  0.980  0.520
O  0.520  0.980  0.980
O  0.980  0.520  0.520
O  0.980  0.520  0.980
O  0.980  0.980  0.520

Energies relative to the most stable structure are <one> 0.000; <two> 0.125, reported in eV/atom.